Entry 1:
The following is a DFT calculation (PBE) of an optimized crystal structure of Mg2BeW.

Unit cell a=4.590 b=2.749 c=5.089 alpha=80.15 beta=90.00 gamma=90.00
Positions (direct):
Be 0.500 0.750 0.750
Mg 0.000 0.933 0.999
Mg 0.000 0.567 0.501
W 0.500 0.250 0.250

Calculated values
magnetization	0.000	μB/cell
space-group type	P2/m (10)

Entry 2:
The following is a DFT calculation (PBE) of an optimized crystal structure of Mg2BeW.

Unit cell a=9.375 b=9.375 c=9.375 alpha=17.58 beta=17.58 gamma=17.58
Positions (direct):
Be 0.750 0.750 0.750
Mg 0.005 0.005 0.005
Mg 0.495 0.495 0.495
W 0.250 0.250 0.250

Calculated values
magnetization	0.000	μB/cell
space-group type	R-3m (166)

Entry 3:
The following is a DFT calculation (PBE) of an optimized crystal structure of Mg2BeW.

Unit cell a=2.964 b=4.507 c=4.650 alpha=90.00 beta=90.00 gamma=90.00
Positions (direct):
Be 0.000 0.500 0.500
Mg 0.000 0.000 0.000
Mg 0.500 0.500 0.000
W 0.500 0.000 0.500

Calculated values
magnetization	0.000	μB/cell
space-group type	Pmmm (47)

Entry 4:
The following is a DFT calculation (PBE) of an optimized crystal structure of Mg2BeW.

Unit cell a=4.764 b=4.764 c=2.892 alpha=90.00 beta=90.00 gamma=90.00
Positions (direct):
Be 0.000 0.500 0.500
Mg 0.000 0.000 0.000
Mg 0.500 0.500 0.000
W 0.500 0.000 0.500

Calculated values
magnetization	0.000	μB/cell
space-group type	P4/mmm (123)

Entry 5:
The following is a DFT calculation (PBE) of an optimized crystal structure of MgBe2W2.

Unit cell a=6.177 b=6.177 c=3.368 alpha=90.00 beta=90.00 gamma=90.00
Positions (direct):
Be 0.383 0.883 0.000
Be 0.883 0.617 0.000
Be 0.617 0.117 0.000
Be 0.117 0.383 0.000
Mg 0.000 0.000 0.000
Mg 0.500 0.500 0.000
W 0.170 0.670 0.500
W 0.670 0.830 0.500
W 0.830 0.330 0.500
W 0.330 0.170 0.500

Calculated values
magnetization	0.000	μB/cell
space-group type	P4/mbm (127)

Entry 6:
The following is a DFT calculation (PBE) of an optimized crystal structure of Mg2BeW.

Unit cell a=3.887 b=2.869 c=6.035 alpha=76.36 beta=90.00 gamma=90.00
Positions (direct):
Be 0.500 0.969 0.691
Mg 0.000 0.819 0.986
Mg 0.500 0.175 0.274
W 0.000 0.538 0.549

Calculated values
magnetization	0.000	μB/cell
space-group type	Pm (6)

Entry 7:
The following is a DFT calculation (PBE) of an optimized crystal structure of Mg2BeW.

Unit cell a=5.229 b=5.229 c=5.229 alpha=138.61 beta=138.61 gamma=59.97
Positions (direct):
Be 0.750 0.250 0.500
Mg 0.000 0.000 0.000
Mg 0.500 0.500 0.000
W 0.250 0.750 0.500

Calculated values
magnetization	0.000	μB/cell
space-group type	I4/mmm (139)

Entry 8:
The following is a DFT calculation (PBE) of an optimized crystal structure of Mg2BeW.

Unit cell a=5.103 b=5.373 c=2.704 alpha=79.75 beta=81.07 gamma=115.84
Positions (direct):
Be 0.500 0.500 0.000
Mg 0.000 0.000 0.000
Mg 0.500 0.000 0.500
W 0.000 0.500 0.500

Calculated values
magnetization	0.000	μB/cell
space-group type	C2/m (12)

| no. | ΔE_f (eV/atom) |
| --- | --- |
| 1 | 0.542 |
| 2 | 0.565 |
| 3 | 0.539 |
| 4 | 0.741 |
| 5 | 0.266 |
| 6 | 0.429 |
| 7 | 0.580 |
| 8 | 0.471 |